The following is a GGA-PBE calculation of a relaxed La4Pm6Pr crystal, from the Alexandria database.

CIF file:
```
data_La4Pm6Pr
_chemical_formula_sum 'La8 Pm12 Pr2'
_symmetry_space_group_name_H-M 'I -4 2 m'
_symmetry_Int_Tables_number 121
_symmetry_space_group_name_Hall 'I -4 2'
_cell_length_a 6.964
_cell_length_b 6.964
_cell_length_c 16.676
_cell_angle_alpha 90.00
_cell_angle_beta 90.00
_cell_angle_gamma 90.00
loop_
_atom_site_label
_atom_site_type_symbol
_atom_site_fract_x
_atom_site_fract_y
_atom_site_fract_z
_atom_site_occupancy
La1 La 0.189 0.189 0.320 1
Pm1 Pm 0.000 0.500 0.000 1
Pm2 Pm 0.168 0.168 0.113 1
Pr1 Pr 0.000 0.000 0.500 1
```

=====

The following is a GGA-PBE calculation of a relaxed La6Pm8Pr crystal, from the Alexandria database.

CIF file:
```
data_La6Pm8Pr
_chemical_formula_sum 'La18 Pm24 Pr3'
_symmetry_space_group_name_H-M 'R -3'
_symmetry_Int_Tables_number 148
_symmetry_space_group_name_Hall '-R 3'
_cell_length_a 9.3503
_cell_length_b 9.3503
_cell_length_c 21.3284
_cell_angle_alpha 90.00
_cell_angle_beta 90.00
_cell_angle_gamma 120.00
loop_
_atom_site_label
_atom_site_type_symbol
_atom_site_fract_x
_atom_site_fract_y
_atom_site_fract_z
_atom_site_occupancy
La1 La 0.0516 0.2457 0.2100 1
Pm1 Pm 0.0000 0.0000 0.0768 1
Pm2 Pm 0.0794 0.5646 0.3070 1
Pr1 Pr 0.0000 0.0000 0.5000 1
```

=====

The following is a GGA-PBE calculation of a relaxed La5Pm4Pr2 crystal, from the Alexandria database.

CIF file:
```
data_La5Pm4Pr2
_chemical_formula_sum 'La10 Pm8 Pr4'
_symmetry_space_group_name_H-M 'C 1 2/m 1'
_symmetry_Int_Tables_number 12
_cell_length_a 24.855
_cell_length_b 3.624
_cell_length_c 8.933
_cell_angle_alpha 90.00
_cell_angle_beta 94.83
_cell_angle_gamma 90.00
loop_
_symmetry_equiv_pos_as_xyz
'x,y,z'
'-x,-y,-z'
'-x,y,-z'
'x,-y,z'
'x+1/2,y+1/2,z'
'-x+1/2,-y+1/2,-z'
'-x+1/2,y+1/2,-z'
'x+1/2,-y+1/2,z'
loop_
_atom_site_label
_atom_site_type_symbol
_atom_site_fract_x
_atom_site_fract_y
_atom_site_fract_z
_atom_site_occupancy
La1 La 0.000 0.000 0.000 1
La2 La 0.132 0.500 0.051 1
La3 La 0.183 0.500 0.471 1
Pm1 Pm 0.040 0.500 0.347 1
Pm2 Pm 0.086 0.000 0.696 1
Pr1 Pr 0.227 0.000 0.824 1
```

=====

The following is a GGA-PBE calculation of a relaxed La6PmPr3 crystal, from the Alexandria database.

CIF file:
```
data_La6PmPr3
_chemical_formula_sum 'La18 Pm3 Pr9'
_symmetry_space_group_name_H-M 'R 3'
_symmetry_Int_Tables_number 146
_symmetry_space_group_name_Hall 'R 3'
_cell_length_a 10.2064
_cell_length_b 10.2064
_cell_length_c 12.3173
_cell_angle_alpha 90.00
_cell_angle_beta 90.00
_cell_angle_gamma 120.00
loop_
_atom_site_label
_atom_site_type_symbol
_atom_site_fract_x
_atom_site_fract_y
_atom_site_fract_z
_atom_site_occupancy
La1 La 0.0054 0.6798 0.0000 1
La2 La 0.0068 0.3260 0.5005 1
Pm1 Pm 0.0000 0.0000 0.7540 1
Pr1 Pr 0.0000 0.0000 0.0071 1
Pr2 Pr 0.0000 0.0000 0.2539 1
Pr3 Pr 0.0000 0.0000 0.5087 1
```

=====

The following is a GGA-PBE calculation of a relaxed LaPm2Pr12 crystal, from the Alexandria database.

CIF file:
```
data_LaPm2Pr12
_chemical_formula_sum 'La2 Pm4 Pr24'
_symmetry_space_group_name_H-M 'P 4/n b m'
_symmetry_Int_Tables_number 125
_cell_length_a 6.661
_cell_length_b 6.661
_cell_length_c 25.939
_cell_angle_alpha 90.00
_cell_angle_beta 90.00
_cell_angle_gamma 90.00
loop_
_symmetry_equiv_pos_as_xyz
'x,y,z'
'-x,-y,-z'
'-y+1/2,x,z'
'y+1/2,-x,-z'
'-x+1/2,-y+1/2,z'
'x+1/2,y+1/2,-z'
'y,-x+1/2,z'
'-y,x+1/2,-z'
'x,-y+1/2,-z'
'-x,y+1/2,z'
'-y+1/2,-x+1/2,-z'
'y+1/2,x+1/2,z'
'-x+1/2,y,-z'
'x+1/2,-y,z'
'y,x,-z'
'-y,-x,z'
loop_
_atom_site_label
_atom_site_type_symbol
_atom_site_fract_x
_atom_site_fract_y
_atom_site_fract_z
_atom_site_occupancy
La1 La 0.250 0.750 0.000 1
Pm1 Pm 0.250 0.750 0.270 1
Pr1 Pr 0.066 0.566 0.116 1
Pr2 Pr 0.082 0.582 0.438 1
Pr3 Pr 0.250 0.250 0.217 1
Pr4 Pr 0.250 0.250 0.339 1
```

=====

The following is a GGA-PBE calculation of a relaxed LaPm15Pr4 crystal, from the Alexandria database.

CIF file:
```
data_LaPm15Pr4
_chemical_formula_sum 'La1 Pm15 Pr4'
_symmetry_space_group_name_H-M 'P 4/m m m'
_symmetry_Int_Tables_number 123
_symmetry_space_group_name_Hall '-P 4 2'
_cell_length_a 5.198
_cell_length_b 5.198
_cell_length_c 25.912
_cell_angle_alpha 90.00
_cell_angle_beta 90.00
_cell_angle_gamma 90.00
loop_
_atom_site_label
_atom_site_type_symbol
_atom_site_fract_x
_atom_site_fract_y
_atom_site_fract_z
_atom_site_occupancy
La1 La 0.000 0.000 0.000 1
Pm1 Pm 0.000 0.500 0.100 1
Pm2 Pm 0.000 0.500 0.300 1
Pm3 Pm 0.000 0.500 0.500 1
Pm4 Pm 0.500 0.500 0.000 1
Pm5 Pm 0.500 0.500 0.200 1
Pm6 Pm 0.500 0.500 0.400 1
Pr1 Pr 0.000 0.000 0.200 1
Pr2 Pr 0.000 0.000 0.400 1
```

=====

The following is a GGA-PBE calculation of a relaxed La2PmPr crystal, from the Alexandria database.

CIF file:
```
data_La2PmPr
_chemical_formula_sum 'La8 Pm4 Pr4'
_symmetry_space_group_name_H-M 'F m -3 m'
_symmetry_Int_Tables_number 225
_symmetry_space_group_name_Hall '-F 4 2 3'
_cell_length_a 8.364
_cell_length_b 8.364
_cell_length_c 8.364
_cell_angle_alpha 90.00
_cell_angle_beta 90.00
_cell_angle_gamma 90.00
loop_
_atom_site_label
_atom_site_type_symbol
_atom_site_fract_x
_atom_site_fract_y
_atom_site_fract_z
_atom_site_occupancy
La1 La 0.250 0.250 0.250 1
Pm1 Pm 0.000 0.000 0.000 1
Pr1 Pr 0.000 0.000 0.500 1
```

=====

The following is a GGA-PBE calculation of a relaxed La3Pm2Pr4 crystal, from the Alexandria database.

CIF file:
```
data_La3Pm2Pr4
_chemical_formula_sum 'La6 Pm4 Pr8'
_symmetry_space_group_name_H-M 'C 1 2/m 1'
_symmetry_Int_Tables_number 12
_cell_length_a 15.741
_cell_length_b 5.255
_cell_length_c 8.292
_cell_angle_alpha 90.00
_cell_angle_beta 108.59
_cell_angle_gamma 90.00
loop_
_symmetry_equiv_pos_as_xyz
'x,y,z'
'-x,-y,-z'
'-x,y,-z'
'x,-y,z'
'x+1/2,y+1/2,z'
'-x+1/2,-y+1/2,-z'
'-x+1/2,y+1/2,-z'
'x+1/2,-y+1/2,z'
loop_
_atom_site_label
_atom_site_type_symbol
_atom_site_fract_x
_atom_site_fract_y
_atom_site_fract_z
_atom_site_occupancy
La1 La 0.000 0.000 0.000 1
La2 La 0.111 0.000 0.667 1
Pm1 Pm 0.168 0.500 0.999 1
Pr1 Pr 0.056 0.500 0.332 1
Pr2 Pr 0.221 0.000 0.332 1
```

=====

The following is a GGA-PBE calculation of a relaxed LaPm12Pr7 crystal, from the Alexandria database.

CIF file:
```
data_LaPm12Pr7
_chemical_formula_sum 'La3 Pm36 Pr21'
_symmetry_space_group_name_H-M 'R -3 m'
_symmetry_Int_Tables_number 166
_symmetry_space_group_name_Hall '-R 3 2"'
_cell_length_a 13.7235
_cell_length_b 13.7235
_cell_length_c 12.9435
_cell_angle_alpha 90.00
_cell_angle_beta 90.00
_cell_angle_gamma 120.00
loop_
_atom_site_label
_atom_site_type_symbol
_atom_site_fract_x
_atom_site_fract_y
_atom_site_fract_z
_atom_site_occupancy
La1 La 0.0000 0.0000 0.0000 1
Pm1 Pm 0.0000 0.2593 0.5000 1
Pm2 Pm 0.0894 0.1788 0.2662 1
Pr1 Pr 0.0000 0.0000 0.5000 1
Pr2 Pr 0.0414 0.5207 0.6156 1
```

=====

The following is a GGA-PBE calculation of a relaxed La3Pm12Pr crystal, from the Alexandria database.

CIF file:
```
data_La3Pm12Pr
_chemical_formula_sum 'La3 Pm12 Pr1'
_symmetry_space_group_name_H-M 'P 4/m m m'
_symmetry_Int_Tables_number 123
_symmetry_space_group_name_Hall '-P 4 2'
_cell_length_a 5.198
_cell_length_b 5.198
_cell_length_c 20.752
_cell_angle_alpha 90.00
_cell_angle_beta 90.00
_cell_angle_gamma 90.00
loop_
_atom_site_label
_atom_site_type_symbol
_atom_site_fract_x
_atom_site_fract_y
_atom_site_fract_z
_atom_site_occupancy
La1 La 0.000 0.000 0.000 1
La2 La 0.000 0.000 0.250 1
Pm1 Pm 0.000 0.500 0.125 1
Pm2 Pm 0.000 0.500 0.376 1
Pm3 Pm 0.500 0.500 0.000 1
Pm4 Pm 0.500 0.500 0.251 1
Pm5 Pm 0.500 0.500 0.500 1
Pr1 Pr 0.000 0.000 0.500 1
```

=====

The following is a GGA-PBE calculation of a relaxed La2Pm3Pr5 crystal, from the Alexandria database.

CIF file:
```
data_La2Pm3Pr5
_chemical_formula_sum 'La8 Pm12 Pr20'
_symmetry_space_group_name_H-M 'I b a m'
_symmetry_Int_Tables_number 72
_symmetry_space_group_name_Hall '-I 2 2c'
_cell_length_a 10.027
_cell_length_b 17.688
_cell_length_c 8.338
_cell_angle_alpha 90.00
_cell_angle_beta 90.00
_cell_angle_gamma 90.00
loop_
_atom_site_label
_atom_site_type_symbol
_atom_site_fract_x
_atom_site_fract_y
_atom_site_fract_z
_atom_site_occupancy
La1 La 0.110 0.114 0.000 1
Pm1 Pm 0.000 0.000 0.250 1
Pm2 Pm 0.249 0.377 0.000 1
Pr1 Pr 0.000 0.239 0.250 1
Pr2 Pr 0.000 0.500 0.250 1
Pr3 Pr 0.100 0.365 0.500 1
```

=====

The following is a GGA-PBE calculation of a relaxed LaPm2Pr7 crystal, from the Alexandria database.

CIF file:
```
data_LaPm2Pr7
_chemical_formula_sum 'La2 Pm4 Pr14'
_symmetry_space_group_name_H-M 'I m m m'
_symmetry_Int_Tables_number 71
_symmetry_space_group_name_Hall '-I 2 2'
_cell_length_a 5.694
_cell_length_b 8.000
_cell_length_c 16.415
_cell_angle_alpha 90.00
_cell_angle_beta 90.00
_cell_angle_gamma 90.00
loop_
_atom_site_label
_atom_site_type_symbol
_atom_site_fract_x
_atom_site_fract_y
_atom_site_fract_z
_atom_site_occupancy
La1 La 0.000 0.000 0.000 1
Pm1 Pm 0.000 0.000 0.213 1
Pr1 Pr 0.000 0.000 0.500 1
Pr2 Pr 0.000 0.301 0.370 1
Pr3 Pr 0.000 0.500 0.152 1
```

=====

Number 1: calculated formation energy 26.4 kJ/mol of atoms. Number 2: calculated formation energy 10.0 kJ/mol of atoms. Number 3: calculated formation energy 8.5 kJ/mol of atoms. Number 4: calculated formation energy 17.7 kJ/mol of atoms. Number 5: calculated formation energy 27.4 kJ/mol of atoms. Number 6: calculated formation energy 1.4 kJ/mol of atoms. Number 7: calculated formation energy 11.5 kJ/mol of atoms. Number 8: calculated formation energy 1.2 kJ/mol of atoms. Number 9: calculated formation energy 7.9 kJ/mol of atoms. Number 10: calculated formation energy 1.4 kJ/mol of atoms. Number 11: calculated formation energy 36.0 kJ/mol of atoms. Number 12: calculated formation energy 18.1 kJ/mol of atoms.